{
  "formula": "Nd3Co4Sn13",
  "functional": "SCAN",
  "state": "PBEsol geometry",
  "vol_a3_per_atom": 21.3,
  "final_energy_ev_per_atom": -33.6766,
  "delta_e_f_ev_per_atom": -0.3297,
  "mass_density_g_cm3": 8.6,
  "cell": [[-2.826, -8.674, 2.564], [8.312, -3.550, -2.848], [3.568, 1.400, 8.667]],
  "species": ["Sn", "Sn", "Sn", "Sn", "Sn", "Sn", "Sn", "Sn", "Sn", "Sn", "Sn", "Sn", "Sn", "Sn", "Sn", "Sn", "Sn", "Sn", "Sn", "Sn", "Sn", "Sn", "Sn", "Sn", "Sn", "Sn", "Co", "Co", "Co", "Co", "Co", "Co", "Co", "Co", "Nd", "Nd", "Nd", "Nd", "Nd", "Nd"],
  "fractional_positions": [[0.342, 0.500, 0.198], [0.158, 0.302, 0.000], [0.500, 0.198, 0.658], [0.302, 0.000, 0.158], [0.000, 0.000, 0.000], [0.000, 0.158, 0.698], [0.658, 0.500, 0.198], [0.500, 0.802, 0.658], [0.342, 0.500, 0.802], [0.842, 0.302, 0.000], [0.698, 0.000, 0.158], [0.000, 0.158, 0.302], [0.802, 0.658, 0.500], [0.198, 0.342, 0.500], [0.302, 0.000, 0.842], [0.500, 0.802, 0.342], [0.158, 0.698, 0.000], [0.500, 0.198, 0.342], [0.842, 0.698, 0.000], [0.000, 0.842, 0.698], [0.198, 0.658, 0.500], [0.658, 0.500, 0.802], [0.802, 0.342, 0.500], [0.000, 0.842, 0.302], [0.698, 0.000, 0.842], [0.500, 0.500, 0.500], [0.750, 0.750, 0.250], [0.250, 0.250, 0.750], [0.750, 0.250, 0.250], [0.750, 0.250, 0.750], [0.750, 0.750, 0.750], [0.250, 0.750, 0.750], [0.250, 0.250, 0.250], [0.250, 0.750, 0.250], [0.000, 0.500, 0.250], [0.750, 0.000, 0.500], [0.500, 0.750, 0.000], [0.000, 0.500, 0.750], [0.250, 0.000, 0.500], [0.500, 0.250, 0.000]]
}